No. 1
# Na3Y2FeO6 PBE with a Hubbard U optimized geometry
data_Na3Y2FeO6
_space_group_name_H-M_alt 'P 1'
_space_group_IT_number 1
_cell_length_a 5.740
_cell_length_b 5.740
_cell_length_c 5.862
_cell_angle_alpha 99.20
_cell_angle_beta 99.20
_cell_angle_gamma 120.10
loop_
_space_group_symop_operation_xyz
'x,y,z'
loop_
_atom_site_label
_atom_site_fract_x
_atom_site_fract_y
_atom_site_fract_z
Na1 0.000 0.000 0.000
Na2 0.344 0.656 0.000
Na3 0.656 0.344 0.000
Y1 0.167 0.833 0.500
Y2 0.833 0.167 0.500
Fe1 0.500 0.500 0.500
O1 0.120 0.431 0.291
O2 0.256 0.256 0.705
O3 0.431 0.120 0.291
O4 0.569 0.880 0.709
O5 0.744 0.744 0.295
O6 0.880 0.569 0.709
# **Symmetry**: C2/m, No. 12
# **Crystal system**: monoclinic

***

No. 2
# NaY2FeO5 PBE with a Hubbard U optimized geometry
data_NaY2FeO5
_space_group_name_H-M_alt 'P 1'
_space_group_IT_number 1
_cell_length_a 6.508
_cell_length_b 6.508
_cell_length_c 5.595
_cell_angle_alpha 90.00
_cell_angle_beta 90.00
_cell_angle_gamma 90.00
loop_
_space_group_symop_operation_xyz
'x,y,z'
loop_
_atom_site_label
_atom_site_fract_x
_atom_site_fract_y
_atom_site_fract_z
Na1 0.000 0.000 0.000
Na2 0.500 0.500 0.000
Y1 0.177 0.323 0.500
Y2 0.323 0.823 0.500
Y3 0.677 0.177 0.500
Y4 0.823 0.677 0.500
Fe1 0.000 0.500 0.000
Fe2 0.500 0.000 0.000
O1 0.000 0.000 0.500
O2 0.135 0.635 0.243
O3 0.135 0.635 0.757
O4 0.365 0.135 0.243
O5 0.365 0.135 0.757
O6 0.500 0.500 0.500
O7 0.635 0.865 0.243
O8 0.635 0.865 0.757
O9 0.865 0.365 0.243
O10 0.865 0.365 0.757
# **Symmetry**: P4/mbm, No. 127
# **Crystal system**: tetragonal

***

| no. | calculated volume (Å³/f.u.) | total energy (eV per atom) |
| --- | --- | --- |
| 1 | 158.3 | -6.7028 |
| 2 | 118.5 | -7.4603 |